DFT (PBE-GGA) results for a relaxed Ca2AsPb crystal.

For the offset from the most stable computed form, the calculation gives 531 meV per atom. The formation energy from the elements comes out at -0.8 eV/f.u. The crystal system is cubic.

Lattice parameters (Å, degrees): 7.6716 7.6716 7.6716 90.00 90.00 90.00
Closest atoms and distances in Å follow each position.
Space group F-43m (No. 216)
Asymmetric unit:
Ca1 0.0000 0.0000 0.0000 (multiplicity 4)  4 As 3.32, 4 Ca 3.32
Ca2 0.2500 0.2500 0.2500 (multiplicity 4)  4 Pb 3.32, 4 Ca 3.32
As1 0.2500 0.2500 0.7500 (multiplicity 4)  4 Pb 3.32, 4 Ca 3.32
Pb1 0.0000 0.0000 0.5000 (multiplicity 4)  4 As 3.32, 4 Ca 3.32



DFT (PBE-GGA) results for a relaxed Sm2DyY2Ho crystal.

The formation energy from the elements comes out at 1.5 eV/f.u. The crystal system is orthorhombic.

Lattice parameters (Å, degrees): 6.6127 17.6936 3.3902 90.00 90.00 90.00
Closest atoms and distances in Å follow each position.
Space group Pnnm (No. 58)
Asymmetric unit:
Sm1 0.2336 0.1481 0.0000 (multiplicity 4)  1 Ho 3.16, 4 Y 3.34-3.47, 2 Sm 3.39, 2 Dy 3.48
Dy1 0.0000 0.0000 0.5000 (multiplicity 2)  2 Dy 3.39, 4 Sm 3.48, 4 Ho 3.72
Y1 0.2366 0.3192 0.5000 (multiplicity 4)  4 Sm 3.34-3.47, 2 Y 3.39, 1 Ho 3.56
Ho1 0.0000 0.5000 0.5000 (multiplicity 2)  2 Sm 3.16, 2 Ho 3.39



DFT (PBE-GGA) results for a relaxed HfBe11 crystal.

The formation energy from the elements comes out at -2.3 eV/f.u. The crystal system is tetragonal.

Lattice parameters (Å, degrees): 8.7605 8.7605 5.6073 90.00 90.00 90.00
Closest atoms and distances in Å follow each position.
Space group I4_1/amd (No. 141, origin choice 2)
Asymmetric unit:
Hf1 0.0000 0.2500 0.3750 (multiplicity 4)  22 Be 2.74-3.04
Be1 0.0000 0.0000 0.0000 (multiplicity 8)  10 Be 2.11-2.30
Be2 0.0000 0.2500 0.8750 (multiplicity 4)  12 Be 2.30-2.37
Be3 0.1255 0.0437 0.6855 (multiplicity 32)  9 Be 2.11-2.35



DFT (PBE-GGA) results for a relaxed SrMg2TlCd4 crystal.

The formation energy from the elements comes out at -0.9 eV/f.u. The crystal system is trigonal.

Lattice parameters (Å, degrees): 4.9377 4.9377 30.7859 90.00 90.00 120.00
Closest atoms and distances in Å follow each position.
Space group R-3m (No. 166, hexagonal axes)
Asymmetric unit:
Sr1 0.0000 0.0000 0.0000 (multiplicity 3)  8 Cd 3.44-3.67
Mg1 0.0000 0.0000 0.2442 (multiplicity 6)  6 Cd 2.97-3.00
Tl1 0.0000 0.0000 0.5000 (multiplicity 3)  8 Cd 3.20-3.21
Cd1 0.0000 0.0000 0.1192 (multiplicity 6)  3 Mg 3.00, 3 Tl 3.20, 3 Cd 3.34
Cd2 0.0000 0.0000 0.3958 (multiplicity 6)  3 Mg 2.97, 1 Tl 3.21



DFT (PBE-GGA) results for a relaxed CaDy2Pb crystal.

For the offset from the most stable computed form, the calculation gives 371 meV per atom. The formation energy from the elements comes out at 0.5 eV/f.u. The crystal system is trigonal.

Lattice parameters (Å, degrees): 3.5802 3.5802 37.0073 90.00 90.00 120.00
Closest atoms and distances in Å follow each position.
Space group R-3m (No. 166, hexagonal axes)
Asymmetric unit:
Ca1 0.0000 0.0000 0.0000 (multiplicity 3)  6 Ca 3.58, 6 Dy 3.66
Dy1 0.0000 0.0000 0.4149 (multiplicity 6)  1 Pb 3.15
Pb1 0.0000 0.0000 0.5000 (multiplicity 3)  2 Dy 3.15



DFT (PBE-GGA) results for a relaxed ThPd8Au5 crystal.

The formation energy from the elements comes out at -3.2 eV/f.u. The crystal system is tetragonal.

Lattice parameters (Å, degrees): 7.6146 7.6146 8.8289 90.00 90.00 90.00
Closest atoms and distances in Å follow each position.
Space group I-4 (No. 82)
Asymmetric unit:
Th1 0.0000 0.0000 0.0000 (multiplicity 2)  4 Pd 2.65
Pd1 0.0748 0.1680 0.6233 (multiplicity 8)  5 Pd 2.76-2.94, 5 Au 2.76-2.89
Pd2 0.0880 0.3372 0.0098 (multiplicity 8)  1 Th 2.65, 5 Au 2.69-2.95, 3 Pd 2.76-2.85
Au1 0.0000 0.5000 0.7500 (multiplicity 2)  8 Pd 2.69-2.82
Au2 0.1393 0.2794 0.3150 (multiplicity 8)  8 Pd 2.76-2.95, 2 Au 3.03



DFT (PBE-GGA) results for a relaxed RbNiTeSe3 crystal.

The crystal system is monoclinic. The value obtained for the formation energy (no corrections) is -0.368 eV/atom.

Lattice parameters (Å, degrees): 9.5627 4.0620 9.6690 90.00 101.62 90.00
Closest atoms and distances in Å follow each position.
Space group P2_1/m (No. 11)
Asymmetric unit:
Rb1 0.2156 0.2500 0.1740 (multiplicity 2)  7 Se 3.55-3.63, 3 Ni 3.73-3.97
Ni1 0.4302 0.7500 0.9324 (multiplicity 2)  4 Se 2.32-2.44
Te1 0.1616 0.2500 0.6559 (multiplicity 2)  4 Se 2.77-2.86
Se1 0.1705 0.7500 0.8655 (multiplicity 2)  1 Ni 2.44
Se2 0.1784 0.7500 0.4653 (multiplicity 2)  2 Te 2.77
Se3 0.4749 0.2500 0.8270 (multiplicity 2)  3 Ni 2.32-2.35



DFT (PBE-GGA) results for a relaxed AlIn2I6 crystal.

For the offset from the most stable computed form, the calculation gives 42 meV per atom. The crystal system is tetragonal. The value obtained for the formation energy (no corrections) is -0.431 eV/atom.

Lattice parameters (Å, degrees): 7.4776 7.4776 13.3392 90.00 90.00 90.00
Closest atoms and distances in Å follow each position.
Space group P4_2/mnm (No. 136)
Asymmetric unit:
Al1 0.0000 0.0000 0.0000 (multiplicity 2)  6 I 2.78-2.81
In1 0.0000 0.0000 0.3379 (multiplicity 4)  6 I 3.20-3.31
I1 0.1872 0.1872 0.1495 (multiplicity 8)  1 Al 2.81
I2 0.2369 0.2369 0.5000 (multiplicity 4)  1 Al 2.78



DFT (PBE-GGA) results for a relaxed ZnGaPd6 crystal.

For the offset from the most stable computed form, the calculation gives 116 meV per atom. The formation energy from the elements comes out at -2.2 eV/f.u. The crystal system is triclinic.

Lattice parameters (Å, degrees): 4.5436 5.3013 5.3368 80.24 89.19 89.78
Closest atoms and distances in Å follow each position.
Space group P-1 (No. 2)
Asymmetric unit:
Zn1 0.0000 0.0000 0.0000 (multiplicity 1)  6 Pd 2.50-2.69
Ga1 0.5000 0.5000 0.5000 (multiplicity 1)  6 Pd 2.45-2.68
Pd1 0.0110 0.2505 0.4698 (multiplicity 2)  2 Ga 2.61-2.68, 5 Pd 2.62-2.92, 1 Zn 2.91
Pd2 0.2535 0.4240 0.9168 (multiplicity 2)  1 Ga 2.45, 1 Zn 2.50, 2 Pd 2.60-2.63
Pd3 0.4930 0.9729 0.7502 (multiplicity 2)  2 Zn 2.61-2.69, 5 Pd 2.64-2.89, 1 Ga 2.89



DFT (PBE-GGA) results for a relaxed Nd2GaSiPd6 crystal.

The crystal system is orthorhombic. The value obtained for the formation energy (no corrections) is -0.751 eV/atom.

Lattice parameters (Å, degrees): 5.5962 8.7486 8.1331 90.00 90.00 90.00
Closest atoms and distances in Å follow each position.
Space group Pmmn (No. 59, origin choice 2)
Asymmetric unit:
Nd1 0.2500 0.0054 0.2316 (multiplicity 4)  11 Pd 3.07-3.44
Ga1 0.2500 0.7500 0.7701 (multiplicity 2)  6 Pd 2.49-2.58
Si1 0.2500 0.2500 0.7418 (multiplicity 2)  6 Pd 2.37-2.44
Pd1 0.0001 0.2500 0.9770 (multiplicity 4)  1 Si 2.37, 1 Ga 2.49
Pd2 0.0016 0.7500 0.5031 (multiplicity 4)  1 Si 2.44, 1 Ga 2.58
Pd3 0.2500 0.0008 0.6128 (multiplicity 4)  1 Si 2.42, 1 Ga 2.54



DFT (PBE-GGA) results for a relaxed PmNd4Er5 crystal.

For the offset from the most stable computed form, the calculation gives 0 meV per atom. The formation energy from the elements comes out at 0.2 eV/f.u. The crystal system is tetragonal.

Lattice parameters (Å, degrees): 3.6063 3.6063 25.1257 90.00 90.00 90.00
Closest atoms and distances in Å follow each position.
Space group P4/mmm (No. 123)
Asymmetric unit:
Pm1 0.0000 0.0000 0.0000 (multiplicity 1)  8 Er 3.57, 4 Pm 3.61
Nd1 0.0000 0.0000 0.1998 (multiplicity 2)  8 Er 3.58-3.59, 4 Nd 3.61
Nd2 0.0000 0.0000 0.4000 (multiplicity 2)  8 Er 3.58, 4 Nd 3.61
Er1 0.5000 0.5000 0.0995 (multiplicity 2)  4 Pm 3.57, 4 Nd 3.59, 4 Er 3.61
Er2 0.5000 0.5000 0.2999 (multiplicity 2)  8 Nd 3.58, 4 Er 3.61
Er3 0.5000 0.5000 0.5000 (multiplicity 1)  8 Nd 3.58, 4 Er 3.61



DFT (PBE-GGA) results for a relaxed Y2ZrTe crystal.

The crystal system is tetragonal. The value obtained for the formation energy (no corrections) is -0.060 eV/atom.

Lattice parameters (Å, degrees): 8.7266 8.7266 6.1597 90.00 90.00 90.00
Closest atoms and distances in Å follow each position.
Space group I-42d (No. 122)
Asymmetric unit:
Y1 0.2147 0.2500 0.1250 (multiplicity 8)  2 Te 2.98, 2 Y 3.14
Zr1 0.0000 0.0000 0.5000 (multiplicity 4)  2 Te 3.08, 4 Y 3.40
Te1 0.0000 0.0000 0.0000 (multiplicity 4)  4 Y 2.98, 2 Zr 3.08



| no. | E_tot (eV per atom) |
| --- | --- |
| 1 | -3.297 |
| 2 | -5.001 |
| 3 | -4.438 |
| 4 | -1.470 |
| 5 | -3.598 |
| 6 | -4.897 |
| 7 | -3.759 |
| 8 | -2.489 |
| 9 | -4.707 |
| 10 | -5.665 |
| 11 | -4.646 |
| 12 | -6.215 |